{
  "formula": "NiHgMo",
  "functional": "GGA-PBE",
  "state": "optimized geometry",
  "rho_g_cm3": 10.26,
  "space_group": "F-43m (216)",
  "formation_energy_ev_per_fu": 3.08,
  "cell": [[0.000, 3.063, 3.063], [3.063, 0.000, 3.063], [3.063, 3.063, 0.000]],
  "species": ["Ni", "Hg", "Mo"],
  "fractional_positions": [[0.000, 0.000, 0.000], [0.500, 0.500, 0.500], [0.750, 0.750, 0.750]]
}

***

{
  "formula": "MgMn2BePd",
  "functional": "GGA-PBE",
  "state": "optimized geometry",
  "rho_g_cm3": 4.26,
  "space_group": "P4/mmm (123)",
  "formation_energy_ev_per_fu": 6.88,
  "cell": [[4.652, 0.000, 0.000], [0.000, 4.652, 0.000], [0.000, 0.000, 4.498]],
  "species": ["Mg", "Mn", "Mn", "Be", "Pd"],
  "fractional_positions": [[0.000, 0.000, 0.000], [0.000, 0.500, 0.000], [0.500, 0.000, 0.000], [0.500, 0.500, 0.500], [0.000, 0.000, 0.500]]
}

***

{
  "formula": "KMnSb2",
  "functional": "GGA-PBE",
  "state": "optimized geometry",
  "rho_g_cm3": 5.32,
  "space_group": "P2/m (10)",
  "formation_energy_uncorrected_ev_per_atom": -0.038,
  "cell": [[3.240, 0.000, 0.000], [0.000, 3.795, 0.000], [-1.004, 0.000, 8.576]],
  "species": ["K", "Mn", "Sb", "Sb"],
  "fractional_positions": [[0.000, 0.000, 0.000], [0.000, 0.000, 0.500], [0.420, 0.500, 0.689], [0.580, 0.500, 0.311]]
}

***

{
  "formula": "Ac3Zn3Ru",
  "functional": "GGA-PBE",
  "state": "optimized geometry",
  "rho_g_cm3": 8.50,
  "space_group": "C2/m (12)",
  "formation_energy_ev_per_fu": -1.62,
  "cell": [[5.916, -2.073, 0.000], [5.916, 2.073, 0.000], [-4.118, 0.000, 15.579]],
  "species": ["Ac", "Ac", "Ac", "Ac", "Ac", "Ac", "Zn", "Zn", "Zn", "Zn", "Zn", "Zn", "Ru", "Ru"],
  "fractional_positions": [[0.024, 0.024, 0.390], [0.119, 0.119, 0.924], [0.244, 0.244, 0.246], [0.756, 0.756, 0.754], [0.881, 0.881, 0.076], [0.976, 0.976, 0.610], [0.312, 0.312, 0.465], [0.400, 0.400, 0.919], [0.472, 0.472, 0.770], [0.528, 0.528, 0.230], [0.600, 0.600, 0.081], [0.688, 0.688, 0.535], [0.289, 0.289, 0.631], [0.711, 0.711, 0.369]]
}

***

{
  "formula": "AcTb2HoSe4",
  "functional": "GGA-PBE",
  "state": "optimized geometry",
  "rho_g_cm3": 8.21,
  "space_group": "P2/m (10)",
  "formation_energy_uncorrected_ev_per_atom": -1.748,
  "cell": [[7.174, 0.000, 0.000], [0.000, 4.106, 0.000], [-2.359, 0.000, 7.043]],
  "species": ["Ac", "Tb", "Tb", "Ho", "Se", "Se", "Se", "Se"],
  "fractional_positions": [[0.000, 0.000, 0.000], [0.500, 0.000, 0.500], [0.500, 0.500, 0.000], [0.000, 0.500, 0.500], [0.255, 0.000, 0.738], [0.266, 0.500, 0.270], [0.734, 0.500, 0.730], [0.745, 0.000, 0.262]]
}

***

{
  "formula": "Sc2Ti2Be",
  "functional": "GGA-PBE",
  "state": "optimized geometry",
  "rho_g_cm3": 3.43,
  "space_group": "P4/mbm (127)",
  "formation_energy_ev_per_fu": 1.21,
  "cell": [[6.494, 0.000, 0.000], [0.000, 6.494, 0.000], [0.000, 0.000, 4.469]],
  "species": ["Sc", "Sc", "Sc", "Sc", "Ti", "Ti", "Ti", "Ti", "Be", "Be"],
  "fractional_positions": [[0.164, 0.336, 0.000], [0.336, 0.836, 0.000], [0.664, 0.164, 0.000], [0.836, 0.664, 0.000], [0.142, 0.642, 0.500], [0.358, 0.142, 0.500], [0.642, 0.858, 0.500], [0.858, 0.358, 0.500], [0.000, 0.000, 0.500], [0.500, 0.500, 0.500]]
}

***

{
  "formula": "KMoRh4",
  "functional": "GGA-PBE",
  "state": "optimized geometry",
  "rho_g_cm3": 8.99,
  "space_group": "F-43m (216)",
  "formation_energy_ev_per_fu": 3.50,
  "cell": [[0.000, 3.695, 3.695], [3.695, 0.000, 3.695], [3.695, 3.695, 0.000]],
  "species": ["K", "Mo", "Rh", "Rh", "Rh", "Rh"],
  "fractional_positions": [[0.000, 0.000, 0.000], [0.750, 0.750, 0.750], [0.375, 0.375, 0.375], [0.375, 0.375, 0.874], [0.375, 0.874, 0.375], [0.874, 0.375, 0.375]]
}

***

{
  "formula": "KPtCl4",
  "functional": "GGA-PBE",
  "state": "optimized geometry",
  "rho_g_cm3": 4.10,
  "space_group": "F-43m (216)",
  "formation_energy_uncorrected_ev_per_atom": 0.421,
  "cell": [[0.000, 4.237, 4.237], [4.237, 0.000, 4.237], [4.237, 4.237, 0.000]],
  "species": ["K", "Pt", "Cl", "Cl", "Cl", "Cl"],
  "fractional_positions": [[0.000, 0.000, 0.000], [0.750, 0.750, 0.750], [0.376, 0.376, 0.376], [0.376, 0.376, 0.873], [0.376, 0.873, 0.376], [0.873, 0.376, 0.376]]
}